[1]
First-principles (GGA+U) data for crystalline TmTiCr2O6 at its relaxed geometry, as listed in the Alexandria database.

- E_tot (eV/atom) = -8.324

Structure (extended XYZ):
```
10
Lattice="5.3033 0.0396 -0.1188 2.6859 4.5407 -0.1014 2.5539 1.4809 4.7671" Properties=species:S:1:pos:R:3 pbc="T T T"
O 6.1084 1.7792 3.5055
Cr 2.5621 1.4862 4.5917
Ti 2.6286 1.5063 0.1714
O 4.4104 1.3767 1.0122
O 5.8980 4.4059 3.4764
O 3.6297 2.8744 3.6623
Tm 7.8789 4.5417 2.6154
O 4.3410 4.6297 0.9745
Cr 5.2692 3.0567 1.9724
O 7.3246 3.1219 0.9000
```

=====

[2]
First-principles (GGA+U) data for crystalline TiVCrO6 at its relaxed geometry, as listed in the Alexandria database.

- E_tot (eV/atom) = -8.073

Structure (extended XYZ):
```
18
Lattice="4.6236 0.0000 0.0000 0.0000 4.6236 0.0000 0.0000 0.0000 8.8168" Properties=species:S:1:pos:R:3 pbc="T T T"
O 1.4177 1.4177 2.8656
O 3.1955 3.1955 0.0692
Ti 2.3118 2.3118 7.2893
O 3.2432 3.2432 5.9231
O 0.9314 3.6922 1.5147
O 3.6922 0.9314 1.5147
V 0.0000 0.0000 5.8582
O 0.8837 3.7399 4.4776
Cr 2.3118 2.3118 4.4040
O 0.8941 3.7295 7.2740
O 3.2059 3.2059 2.8656
Ti 0.0000 0.0000 2.8809
V 2.3118 2.3118 1.4498
O 1.3804 1.3804 5.9231
Cr 0.0000 0.0000 8.8124
O 3.7295 0.8941 7.2740
O 3.7399 0.8837 4.4776
O 1.4281 1.4281 0.0692
```

=====

[3]
First-principles (GGA+U) data for crystalline TiV2CrO6 at its relaxed geometry, as listed in the Alexandria database.

- E_tot (eV/atom) = -8.246

Structure (extended XYZ):
```
10
Lattice="-0.9157 -3.7998 3.2738 -2.5598 -4.2671 -1.6023 2.8973 -4.7465 -0.6722" Properties=species:S:1:pos:R:3 pbc="T T T"
V 2.6994 -4.6320 -0.5859
O -0.3924 -4.4148 1.4475
Ti -0.8903 -2.8118 0.4823
O -0.0147 -8.2027 -0.3238
V -0.4597 -6.3247 0.5604
Cr -1.2015 -9.2411 0.9636
O 1.1905 -6.8990 1.6006
O 0.9936 -5.7869 -0.7511
O -1.8740 -5.9677 -0.9173
O -1.7217 -7.1282 1.9447
```

=====

[4]
First-principles (GGA+U) data for crystalline TiV2CrO10 at its relaxed geometry, as listed in the Alexandria database.

- E_tot (eV/atom) = -7.487

Structure (extended XYZ):
```
14
Lattice="6.6378 0.0000 0.0000 0.0000 6.6378 0.0000 0.0000 0.0000 4.5311" Properties=species:S:1:pos:R:3 pbc="T T T"
O 5.2812 0.0000 3.2294
O 3.3189 1.7752 3.2699
O 0.0000 5.2812 1.3017
Cr 0.0000 0.0000 2.2656
V 0.0000 3.3189 1.7105
O 1.3566 0.0000 3.2294
O 4.8626 3.3189 1.2613
O 0.0000 1.3566 1.3017
V 3.3189 0.0000 2.8206
O 0.0000 3.3189 3.3290
Ti 3.3189 3.3189 2.2656
O 1.7752 3.3189 1.2613
O 3.3189 4.8626 3.2699
O 3.3189 0.0000 1.2022
```